A plane-wave DFT calculation with PBE was carried out for Dy3Tm2In4 after structural relaxation.

The structure in POSCAR format:
```
Dy3Tm2In4
1.0
-5.451 -4.215 0.881
2.548 -4.981 -8.071
7.035 -2.577 3.812
Dy Tm In
6 4 8
Cartesian
0.000 0.000 0.000
-1.451 -4.598 -3.595
2.955 -7.406 -3.458
-1.548 -6.475 0.520
1.177 -4.367 0.080
5.681 -5.298 -3.899
2.276 -3.659 -3.425
1.856 -8.114 0.046
3.490 -3.872 3.064
0.643 -7.901 -6.443
4.786 -9.396 -1.652
-3.379 -4.485 -1.286
-0.654 -2.377 -1.727
7.512 -7.288 -2.092
4.191 -6.725 -6.252
-0.058 -5.048 2.873
3.846 -5.245 -1.300
0.287 -6.529 -2.079
```

Calculated values
* SG: Cmce
* magnetization: 0.00 μB per formula unit
* calculated total energy: -3.970 eV per atom
* energy of formation from the pure elements: -0.2254 eV per atom